[1]
# TeHF3 GGA-PBE relaxed
# **E above lowest polymorph**: 275.8 meV/atom
data_TeHF3
_symmetry_space_group_name_H-M 'P 1'
_symmetry_Int_Tables_number 1
_cell_length_a 3.756
_cell_length_b 3.756
_cell_length_c 3.756
_cell_angle_alpha 90.00
_cell_angle_beta 90.00
_cell_angle_gamma 90.00
loop_
_symmetry_equiv_pos_as_xyz
'x,y,z'
loop_
_atom_site_label
_atom_site_fract_x
_atom_site_fract_y
_atom_site_fract_z
F1 0.000 0.500 0.000
H1 0.000 0.000 0.000
F2 0.000 0.000 0.500
F3 0.500 0.000 0.000
Te1 0.500 0.500 0.500

---

[2]
# LiScAgIr GGA-PBE relaxed
# **Formation energy from the elements**: -1.551 eV/f.u.
data_LiScAgIr
_symmetry_space_group_name_H-M 'P 1'
_symmetry_Int_Tables_number 1
_cell_length_a 4.526
_cell_length_b 4.526
_cell_length_c 4.526
_cell_angle_alpha 60.00
_cell_angle_beta 60.00
_cell_angle_gamma 60.00
loop_
_symmetry_equiv_pos_as_xyz
'x,y,z'
loop_
_atom_site_label
_atom_site_fract_x
_atom_site_fract_y
_atom_site_fract_z
Li1 0.500 0.500 0.500
Sc1 0.000 0.000 0.000
Ag1 0.250 0.250 0.250
Ir1 0.750 0.750 0.750